Record 1
This record from Alexandria via LeMat-Bulk describes a geometry-optimized HoTh2Si structure. The functional is PBE-GGA.

Computed properties:
Crystal system   trigonal
E_tot   -6.09 eV per atom
Magnetic moment   0.00 μB/f.u.

```
4
Lattice="3.803 0.000 0.000 1.901 3.293 0.000 1.901 1.098 10.450" Properties=species:S:1:pos:R:3 pbc="T T T"
Si 3.803 2.195 5.225
Ho 0.000 0.000 0.000
Th 1.901 1.098 7.044
Th 5.704 3.293 3.406
```


Record 2
This record from Alexandria via LeMat-Bulk describes a geometry-optimized CdSi2Rh structure. The functional is PBE-GGA.

Computed properties:
Crystal system   triclinic
E_tot   -4.94 eV per atom
Magnetic moment   0.00 μB/f.u.

```
4
Lattice="3.720 0.008 0.044 1.861 3.850 0.020 1.873 0.874 4.864" Properties=species:S:1:pos:R:3 pbc="T T T"
Cd 4.290 4.357 4.475
Si 2.399 2.728 2.698
Si 4.274 1.832 1.184
Rh 2.405 0.322 1.769
```


Record 3
This record from Alexandria via LeMat-Bulk describes a geometry-optimized NdPa2Si structure. The functional is PBE-GGA.

Computed properties:
Crystal system   tetragonal
E_tot   -7.38 eV per atom
Energy above the most stable polymorph in this dataset   0.006 eV per atom
Magnetic moment   0.00 μB/f.u.

```
4
Lattice="-0.404 -2.053 -3.139 -1.763 -2.683 1.981 -6.455 3.273 -1.310" Properties=species:S:1:pos:R:3 pbc="T T T"
Si -4.311 -0.731 -1.234
Pa -4.397 2.229 -0.892
Pa -2.058 1.044 -0.418
Nd -1.083 -2.368 -0.579
```